# 1
First-principles (PBE) data for crystalline Pm4Tm5Th2 at its relaxed geometry, as listed in Alexandria via LeMat-Bulk.

Calculated values
The relative energy among the computed polymorphs is 0.463 eV per atom.

CIF file:
```
data_Pm4Tm5Th2
_chemical_formula_sum 'Pm8 Tm10 Th4'
_cell_length_a 3.418
_cell_length_b 9.214
_cell_length_c 24.604
_cell_angle_alpha 90.00
_cell_angle_beta 90.00
_cell_angle_gamma 90.00
_space_group_name_H-M_alt 'I m m m'
_space_group_IT_number 71
_space_group_name_Hall '-I 2 2'
loop_
_atom_site_label
_atom_site_fract_x
_atom_site_fract_y
_atom_site_fract_z
_atom_site_occupancy
Pm1 0.000 0.000 0.239 1
Pm2 0.000 0.317 0.000 1
Tm1 0.000 0.324 0.156 1
Tm2 0.000 0.500 0.500 1
Th1 0.000 0.000 0.107 1
```

---

# 2
First-principles (PBE) data for crystalline Pm4TmTh2 at its relaxed geometry, as listed in Alexandria via LeMat-Bulk.

CIF file:
```
data_Pm4TmTh2
_chemical_formula_sum 'Pm4 Tm1 Th2'
_cell_length_a 5.835
_cell_length_b 5.729
_cell_length_c 7.343
_cell_angle_alpha 90.00
_cell_angle_beta 100.20
_cell_angle_gamma 90.00
_space_group_name_H-M_alt 'P 1 2/m 1'
_space_group_IT_number 10
loop_
_space_group_symop_operation_xyz
'x,y,z'
'-x,-y,-z'
'-x,y,-z'
'x,-y,z'
loop_
_atom_site_label
_atom_site_fract_x
_atom_site_fract_y
_atom_site_fract_z
_atom_site_occupancy
Pm1 0.004 0.000 0.271 1
Pm2 0.337 0.500 0.672 1
Tm1 0.500 0.000 0.000 1
Th1 0.000 0.500 0.000 1
Th2 0.500 0.000 0.500 1
```

---

# 3
First-principles (PBE) data for crystalline PmTm2Th4 at its relaxed geometry, as listed in Alexandria via LeMat-Bulk.

CIF file:
```
data_PmTm2Th4
_chemical_formula_sum 'Pm4 Tm8 Th16'
_cell_length_a 6.695
_cell_length_b 11.943
_cell_length_c 11.694
_cell_angle_alpha 90.00
_cell_angle_beta 90.09
_cell_angle_gamma 90.00
_space_group_name_H-M_alt 'C 1 2/c 1'
_space_group_IT_number 15
loop_
_space_group_symop_operation_xyz
'x,y,z'
'-x,-y,-z'
'-x,y,-z+1/2'
'x,-y,z+1/2'
'x+1/2,y+1/2,z'
'-x+1/2,-y+1/2,-z'
'-x+1/2,y+1/2,-z+1/2'
'x+1/2,-y+1/2,z+1/2'
loop_
_atom_site_label
_atom_site_fract_x
_atom_site_fract_y
_atom_site_fract_z
_atom_site_occupancy
Pm1 0.000 0.165 0.250 1
Tm1 0.000 0.126 0.750 1
Tm2 0.000 0.499 0.250 1
Th1 0.000 0.274 0.514 1
Th2 0.231 0.000 0.000 1
```

---

# 4
First-principles (PBE) data for crystalline Pm5Tm4Th4 at its relaxed geometry, as listed in Alexandria via LeMat-Bulk.

CIF file:
```
data_Pm5Tm4Th4
_chemical_formula_sum 'Pm10 Tm8 Th8'
_cell_length_a 12.914
_cell_length_b 12.914
_cell_length_c 5.057
_cell_angle_alpha 90.00
_cell_angle_beta 90.00
_cell_angle_gamma 90.00
_space_group_name_H-M_alt 'I 4/m'
_space_group_IT_number 87
_space_group_name_Hall '-I 4'
loop_
_atom_site_label
_atom_site_fract_x
_atom_site_fract_y
_atom_site_fract_z
_atom_site_occupancy
Pm1 0.000 0.000 0.000 1
Pm2 0.038 0.196 0.500 1
Tm1 0.154 0.765 0.000 1
Th1 0.074 0.385 0.000 1
```

---

# 5
First-principles (PBE) data for crystalline Pm8Tm2Th at its relaxed geometry, as listed in Alexandria via LeMat-Bulk.

Calculated values
The relative energy among the computed polymorphs is 0.000 eV per atom.

CIF file:
```
data_Pm8Tm2Th
_chemical_formula_sum 'Pm16 Tm4 Th2'
_cell_length_a 18.465
_cell_length_b 5.107
_cell_length_c 8.062
_cell_angle_alpha 90.00
_cell_angle_beta 104.71
_cell_angle_gamma 90.00
_space_group_name_H-M_alt 'C 1 2/m 1'
_space_group_IT_number 12
loop_
_space_group_symop_operation_xyz
'x,y,z'
'-x,-y,-z'
'-x,y,-z'
'x,-y,z'
'x+1/2,y+1/2,z'
'-x+1/2,-y+1/2,-z'
'-x+1/2,y+1/2,-z'
'x+1/2,-y+1/2,z'
loop_
_atom_site_label
_atom_site_fract_x
_atom_site_fract_y
_atom_site_fract_z
_atom_site_occupancy
Pm1 0.089 0.000 0.451 1
Pm2 0.133 0.500 0.177 1
Pm3 0.179 0.000 0.908 1
Pm4 0.227 0.500 0.637 1
Tm1 0.044 0.500 0.730 1
Th1 0.000 0.000 0.000 1
```

---

# 6
First-principles (PBE) data for crystalline PmTm12Th5 at its relaxed geometry, as listed in Alexandria via LeMat-Bulk.

CIF file:
```
data_PmTm12Th5
_chemical_formula_sum 'Pm2 Tm24 Th10'
_cell_length_a 14.855
_cell_length_b 15.041
_cell_length_c 5.014
_cell_angle_alpha 90.00
_cell_angle_beta 90.00
_cell_angle_gamma 90.00
_space_group_name_H-M_alt 'C m m m'
_space_group_IT_number 65
_space_group_name_Hall '-C 2 2'
loop_
_atom_site_label
_atom_site_fract_x
_atom_site_fract_y
_atom_site_fract_z
_atom_site_occupancy
Pm1 0.000 0.000 0.000 1
Tm1 0.164 0.168 0.000 1
Tm2 0.164 0.333 0.500 1
Tm3 0.164 0.500 0.000 1
Tm4 0.166 0.000 0.500 1
Th1 0.000 0.168 0.500 1
Th2 0.000 0.333 0.000 1
Th3 0.000 0.500 0.500 1
```

---

# 7
First-principles (PBE) data for crystalline Pm2TmTh at its relaxed geometry, as listed in Alexandria via LeMat-Bulk.

Calculated values
The relative energy among the computed polymorphs is 0.153 eV per atom.

CIF file:
```
data_Pm2TmTh
_chemical_formula_sum 'Pm6 Tm3 Th3'
_cell_length_a 3.5422
_cell_length_b 3.5422
_cell_length_c 37.1072
_cell_angle_alpha 90.00
_cell_angle_beta 90.00
_cell_angle_gamma 120.00
_space_group_name_H-M_alt 'R -3 m'
_space_group_IT_number 166
_space_group_name_Hall '-R 3 2"'
loop_
_atom_site_label
_atom_site_fract_x
_atom_site_fract_y
_atom_site_fract_z
_atom_site_occupancy
Pm1 0.0000 0.0000 0.0901 1
Tm1 0.0000 0.0000 0.0000 1
Th1 0.0000 0.0000 0.5000 1
```

---

# 8
First-principles (PBE) data for crystalline Pm3Tm4Th2 at its relaxed geometry, as listed in Alexandria via LeMat-Bulk.

Calculated values
The relative energy among the computed polymorphs is 0.120 eV per atom.

CIF file:
```
data_Pm3Tm4Th2
_chemical_formula_sum 'Pm12 Tm16 Th8'
_cell_length_a 14.634
_cell_length_b 13.059
_cell_length_c 6.296
_cell_angle_alpha 90.00
_cell_angle_beta 99.94
_cell_angle_gamma 90.00
_space_group_name_H-M_alt 'C 1 2/c 1'
_space_group_IT_number 15
loop_
_space_group_symop_operation_xyz
'x,y,z'
'-x,-y,-z'
'-x,y,-z+1/2'
'x,-y,z+1/2'
'x+1/2,y+1/2,z'
'-x+1/2,-y+1/2,-z'
'-x+1/2,y+1/2,-z+1/2'
'x+1/2,-y+1/2,z+1/2'
loop_
_atom_site_label
_atom_site_fract_x
_atom_site_fract_y
_atom_site_fract_z
_atom_site_occupancy
Pm1 0.000 0.040 0.250 1
Pm2 0.106 0.440 0.996 1
Tm1 0.082 0.290 0.519 1
Tm2 0.189 0.184 0.137 1
Th1 0.207 0.077 0.642 1
```

---

no.,magnetization (μB per cell),energy of formation from the pure elements (meV/atom)
1,0.000,490
2,0.000,355
3,0.000,227
4,0.000,36
5,0.000,27
6,0.000,27
7,0.002,178
8,0.000,157